No. 1
First-principles (PBE) data for an optimized crystal structure of TbPm2ZnS5, as listed in Alexandria via LeMat-Bulk.

Cell: 8.6747 8.6747 11.9493 Å, 90.00 90.00 154.29°
Atoms (fractional coordinates):
Tb 0.1964 0.8036 0.5000
Tb 0.8036 0.1964 0.0000
Pm 0.1147 0.8853 0.1680
Pm 0.1314 0.8686 0.8044
Pm 0.8686 0.1314 0.3044
Pm 0.8853 0.1147 0.6680
Zn 0.4553 0.5447 0.9283
Zn 0.5447 0.4553 0.4283
S 0.0370 0.9630 0.5338
S 0.2915 0.7085 0.1619
S 0.3179 0.6821 0.8368
S 0.3562 0.6438 0.4888
S 0.4923 0.5077 0.2534
S 0.5077 0.4923 0.7534
S 0.6438 0.3562 0.9888
S 0.6821 0.3179 0.3368
S 0.7085 0.2915 0.6619
S 0.9630 0.0370 0.0338

## Properties
Space-group type: Cmc2_1
Uncorrected energy in eV per atom: -5.746
ΔE_f (raw) in eV/atom: -1.742

***

No. 2
First-principles (PBE) data for an optimized crystal structure of CeThTiIn, as listed in Alexandria via LeMat-Bulk.

Cell: 7.3589 7.3589 7.3589 Å, 90.00 90.00 90.00°
Atoms (fractional coordinates):
Ce 0.0000 0.0000 0.0000
Ce 0.0000 0.5000 0.5000
Ce 0.5000 0.0000 0.5000
Ce 0.5000 0.5000 0.0000
Th 0.2500 0.2500 0.2500
Th 0.2500 0.7500 0.7500
Th 0.7500 0.2500 0.7500
Th 0.7500 0.7500 0.2500
Ti 0.0000 0.0000 0.5000
Ti 0.0000 0.5000 0.0000
Ti 0.5000 0.0000 0.0000
Ti 0.5000 0.5000 0.5000
In 0.2500 0.2500 0.7500
In 0.2500 0.7500 0.2500
In 0.7500 0.2500 0.2500
In 0.7500 0.7500 0.7500

## Properties
Space-group type: F-43m
Uncorrected energy in eV per atom: -5.971

***

No. 3
First-principles (PBE) data for an optimized crystal structure of K4Th3NiTe8, as listed in Alexandria via LeMat-Bulk.

Cell: 9.0409 9.0409 9.7970 Å, 117.89 117.89 59.05°
Atoms (fractional coordinates):
K 0.0000 0.0000 0.0000
K 0.0000 0.5000 0.0000
K 0.5000 0.0000 0.0000
K 0.5000 0.5000 0.0000
Th 0.0000 0.0000 0.5000
Th 0.0000 0.5000 0.5000
Th 0.5000 0.0000 0.5000
Ni 0.5000 0.5000 0.5000
Te 0.2400 0.2400 0.7228
Te 0.2581 0.7174 0.6957
Te 0.2651 0.2651 0.2894
Te 0.2826 0.7419 0.3043
Te 0.7174 0.2581 0.6957
Te 0.7349 0.7349 0.7106
Te 0.7419 0.2826 0.3043
Te 0.7600 0.7600 0.2772

## Properties
Space-group type: C2/m
Uncorrected energy in eV per atom: -4.590
ΔE_f (raw) in eV/atom: -0.992

***

No. 4
First-principles (PBE) data for an optimized crystal structure of CaCuSeBr2, as listed in Alexandria via LeMat-Bulk.

Cell: 4.9573 4.9573 5.1037 Å, 90.00 90.00 90.00°
Atoms (fractional coordinates):
Ca 0.0000 0.0000 0.0000
Cu 0.5000 0.5000 0.5000
Se 0.5000 0.5000 0.0000
Br 0.0000 0.5000 0.5000
Br 0.5000 0.0000 0.5000

## Properties
Space-group type: P4/mmm
Uncorrected energy in eV per atom: -3.351
E above lowest polymorph in meV per atom: 0
ΔE_f (raw) in eV/atom: -0.765

***

No. 5
First-principles (PBE) data for an optimized crystal structure of Sm4Cd5Ag2, as listed in Alexandria via LeMat-Bulk.

Cell: 7.8567 3.5725 10.1923 Å, 90.00 94.38 90.00°
Atoms (fractional coordinates):
Sm 0.1674 0.0000 0.3759
Sm 0.2618 0.0000 0.9435
Sm 0.7382 0.0000 0.0565
Sm 0.8326 0.0000 0.6241
Cd 0.1937 0.5000 0.6599
Cd 0.4412 0.5000 0.2003
Cd 0.5000 0.5000 0.5000
Cd 0.5588 0.5000 0.7997
Cd 0.8063 0.5000 0.3401
Ag 0.0614 0.5000 0.1358
Ag 0.9386 0.5000 0.8642

## Properties
Space-group type: P2/m
Uncorrected energy in eV per atom: -2.915

***

No. 6
First-principles (PBE) data for an optimized crystal structure of NiTe2RuN, as listed in Alexandria via LeMat-Bulk.

Cell: 5.1683 5.1683 3.3438 Å, 90.00 90.00 90.00°
Atoms (fractional coordinates):
Ni 0.0000 0.0000 0.0000
Te 0.0000 0.5000 0.0000
Te 0.5000 0.0000 0.0000
Ru 0.5000 0.5000 0.5000
N 0.0000 0.0000 0.5000

## Properties
Space-group type: P4/mmm
Uncorrected energy in eV per atom: -5.238
E above lowest polymorph in meV per atom: 114
ΔE_f (raw) in eV/atom: 0.695

***

What magnetization values result from the calculations? In sequence: 0.00 5.50 0.89 0.00 0.00 0.13 μB per cell.
What density of states at the Fermi level values result from the calculations? In sequence: 1.7 33.4 10.2 2.3 9.1 5.3 states/eV per cell.
What V values result from the calculations? In sequence: 21.67 24.91 36.19 25.08 25.93 17.86 Å³ per atom.